# AcEr2Te, relaxed, DFT PBE-GGA
# D(E_F) = 4.96 states/eV/f.u.
# excess energy over the best structure of this formula in the dataset = 245 meV per atom
# raw formation energy = -1.1 eV per formula unit
# electronic total energy = -4.367 eV/atom
data_AcEr2Te
_chemical_formula_sum 'Ac1 Er2 Te1'
_cell_length_a 3.860
_cell_length_b 3.860
_cell_length_c 11.408
_cell_angle_alpha 80.26
_cell_angle_beta 80.26
_cell_angle_gamma 60.00
_space_group_name_H-M_alt 'P 1'
_space_group_IT_number 1
loop_
_space_group_symop_operation_xyz
'x,y,z'
loop_
_atom_site_label
_atom_site_type_symbol
_atom_site_fract_x
_atom_site_fract_y
_atom_site_fract_z
_atom_site_occupancy
Te1 Te 0.500 0.500 0.500 1
Er1 Er 0.893 0.893 0.320 1
Er2 Er 0.107 0.107 0.680 1
Ac1 Ac 0.000 0.000 0.000 1



# Ac2Er2Te5, relaxed, DFT PBE-GGA
# D(E_F) = 5.66 states/eV/f.u.
# raw formation energy = -11.5 eV per formula unit
# electronic total energy = -4.954 eV/atom
data_Ac2Er2Te5
_chemical_formula_sum 'Ac2 Er2 Te5'
_cell_length_a 6.012
_cell_length_b 8.888
_cell_length_c 6.481
_cell_angle_alpha 107.63
_cell_angle_beta 90.00
_cell_angle_gamma 109.77
_space_group_name_H-M_alt 'P 1'
_space_group_IT_number 1
loop_
_space_group_symop_operation_xyz
'x,y,z'
loop_
_atom_site_label
_atom_site_type_symbol
_atom_site_fract_x
_atom_site_fract_y
_atom_site_fract_z
_atom_site_occupancy
Er1 Er 0.170 0.340 0.942 1
Er2 Er 0.830 0.660 0.058 1
Te1 Te 0.635 0.270 0.859 1
Te2 Te 0.187 0.375 0.483 1
Te3 Te 0.365 0.730 0.141 1
Te4 Te 0.813 0.625 0.517 1
Te5 Te 0.000 0.000 0.000 1
Ac1 Ac 0.597 0.194 0.324 1
Ac2 Ac 0.403 0.806 0.676 1



# AcErTe2, relaxed, DFT PBE-GGA
# D(E_F) = 3.88 states/eV/f.u.
# excess energy over the best structure of this formula in the dataset = 169 meV per atom
# raw formation energy = -4.8 eV per formula unit
# electronic total energy = -4.928 eV/atom
data_AcErTe2
_chemical_formula_sum 'Ac1 Er1 Te2'
_cell_length_a 5.543
_cell_length_b 5.543
_cell_length_c 5.543
_cell_angle_alpha 60.00
_cell_angle_beta 60.00
_cell_angle_gamma 60.00
_space_group_name_H-M_alt 'P 1'
_space_group_IT_number 1
loop_
_space_group_symop_operation_xyz
'x,y,z'
loop_
_atom_site_label
_atom_site_type_symbol
_atom_site_fract_x
_atom_site_fract_y
_atom_site_fract_z
_atom_site_occupancy
Er1 Er 0.000 0.000 0.000 1
Te1 Te 0.750 0.750 0.750 1
Te2 Te 0.250 0.250 0.250 1
Ac1 Ac 0.500 0.500 0.500 1



# AcEr6Te8, relaxed, DFT PBE-GGA
# D(E_F) = 9.46 states/eV/f.u.
# raw formation energy = -17.4 eV per formula unit
# electronic total energy = -4.935 eV/atom
data_AcEr6Te8
_chemical_formula_sum 'Ac1 Er6 Te8'
_cell_length_a 8.006
_cell_length_b 8.006
_cell_length_c 8.006
_cell_angle_alpha 87.62
_cell_angle_beta 87.62
_cell_angle_gamma 87.62
_space_group_name_H-M_alt 'P 1'
_space_group_IT_number 1
loop_
_space_group_symop_operation_xyz
'x,y,z'
loop_
_atom_site_label
_atom_site_type_symbol
_atom_site_fract_x
_atom_site_fract_y
_atom_site_fract_z
_atom_site_occupancy
Er1 Er 0.424 0.574 0.194 1
Er2 Er 0.194 0.424 0.574 1
Er3 Er 0.806 0.576 0.426 1
Er4 Er 0.574 0.194 0.424 1
Er5 Er 0.576 0.426 0.806 1
Er6 Er 0.426 0.806 0.576 1
Ac1 Ac 0.000 0.000 0.000 1
Te1 Te 0.237 0.636 0.877 1
Te2 Te 0.364 0.123 0.763 1
Te3 Te 0.751 0.751 0.751 1
Te4 Te 0.763 0.364 0.123 1
Te5 Te 0.249 0.249 0.249 1
Te6 Te 0.636 0.877 0.237 1
Te7 Te 0.877 0.237 0.636 1
Te8 Te 0.123 0.763 0.364 1



# AcErTe2, relaxed, DFT PBE-GGA
# D(E_F) = 1.82 states/eV/f.u.
# excess energy over the best structure of this formula in the dataset = 6 meV per atom
# raw formation energy = -5.4 eV per formula unit
# electronic total energy = -5.091 eV/atom
data_AcErTe2
_chemical_formula_sum 'Ac1 Er1 Te2'
_cell_length_a 4.383
_cell_length_b 4.383
_cell_length_c 8.252
_cell_angle_alpha 74.47
_cell_angle_beta 74.47
_cell_angle_gamma 60.21
_space_group_name_H-M_alt 'P 1'
_space_group_IT_number 1
loop_
_space_group_symop_operation_xyz
'x,y,z'
loop_
_atom_site_label
_atom_site_type_symbol
_atom_site_fract_x
_atom_site_fract_y
_atom_site_fract_z
_atom_site_occupancy
Ac1 Ac 0.500 0.500 0.500 1
Er1 Er 0.000 0.000 0.000 1
Te1 Te 0.740 0.740 0.781 1
Te2 Te 0.260 0.260 0.219 1



# Ac5Er2Te12, relaxed, DFT PBE-GGA
# D(E_F) = 4.96 states/eV/f.u.
# raw formation energy = -24.9 eV per formula unit
# electronic total energy = -4.859 eV/atom
data_Ac5Er2Te12
_chemical_formula_sum 'Ac5 Er2 Te12'
_cell_length_a 8.595
_cell_length_b 9.848
_cell_length_c 10.390
_cell_angle_alpha 101.78
_cell_angle_beta 90.00
_cell_angle_gamma 115.87
_space_group_name_H-M_alt 'P 1'
_space_group_IT_number 1
loop_
_space_group_symop_operation_xyz
'x,y,z'
loop_
_atom_site_label
_atom_site_type_symbol
_atom_site_fract_x
_atom_site_fract_y
_atom_site_fract_z
_atom_site_occupancy
Te1 Te 0.103 0.705 0.437 1
Te2 Te 0.399 0.295 0.563 1
Te3 Te 0.422 0.355 0.074 1
Te4 Te 0.966 0.931 0.797 1
Te5 Te 0.601 0.705 0.437 1
Te6 Te 0.512 0.023 0.213 1
Te7 Te 0.066 0.645 0.926 1
Te8 Te 0.578 0.645 0.926 1
Te9 Te 0.897 0.295 0.563 1
Te10 Te 0.934 0.355 0.074 1
Te11 Te 0.488 0.977 0.787 1
Te12 Te 0.034 0.069 0.203 1
Er1 Er 0.253 0.000 0.000 1
Er2 Er 0.747 0.000 0.000 1
Ac1 Ac 0.294 0.589 0.652 1
Ac2 Ac 0.676 0.351 0.811 1
Ac3 Ac 0.324 0.649 0.189 1
Ac4 Ac 0.000 0.000 0.500 1
Ac5 Ac 0.706 0.411 0.348 1



# AcErTe2, relaxed, DFT PBE-GGA
# D(E_F) = 1.84 states/eV/f.u.
# excess energy over the best structure of this formula in the dataset = 0 meV per atom
# raw formation energy = -5.4 eV per formula unit
# electronic total energy = -5.097 eV/atom
data_AcErTe2
_chemical_formula_sum 'Ac1 Er1 Te2'
_cell_length_a 4.355
_cell_length_b 4.355
_cell_length_c 8.428
_cell_angle_alpha 75.03
_cell_angle_beta 75.03
_cell_angle_gamma 60.00
_space_group_name_H-M_alt 'P 1'
_space_group_IT_number 1
loop_
_space_group_symop_operation_xyz
'x,y,z'
loop_
_atom_site_label
_atom_site_type_symbol
_atom_site_fract_x
_atom_site_fract_y
_atom_site_fract_z
_atom_site_occupancy
Ac1 Ac 0.497 0.497 0.508 1
Er1 Er 0.670 0.670 0.990 1
Te1 Te 0.073 0.073 0.781 1
Te2 Te 0.260 0.260 0.220 1



# Ac3ErTe6, relaxed, DFT PBE-GGA
# excess energy over the best structure of this formula in the dataset = 8 meV per atom
# raw formation energy = -14.9 eV per formula unit
# electronic total energy = -5.068 eV/atom
data_Ac3ErTe6
_chemical_formula_sum 'Ac6 Er2 Te12'
_cell_length_a 9.426
_cell_length_b 9.426
_cell_length_c 9.426
_cell_angle_alpha 98.79
_cell_angle_beta 98.79
_cell_angle_gamma 98.79
_space_group_name_H-M_alt 'P 1'
_space_group_IT_number 1
loop_
_space_group_symop_operation_xyz
'x,y,z'
loop_
_atom_site_label
_atom_site_type_symbol
_atom_site_fract_x
_atom_site_fract_y
_atom_site_fract_z
_atom_site_occupancy
Te1 Te 0.065 0.966 0.317 1
Te2 Te 0.811 0.571 0.438 1
Te3 Te 0.317 0.065 0.966 1
Te4 Te 0.935 0.034 0.683 1
Te5 Te 0.562 0.189 0.429 1
Te6 Te 0.966 0.317 0.065 1
Te7 Te 0.034 0.683 0.935 1
Te8 Te 0.683 0.935 0.034 1
Te9 Te 0.571 0.438 0.811 1
Te10 Te 0.189 0.429 0.562 1
Te11 Te 0.429 0.562 0.189 1
Te12 Te 0.438 0.811 0.571 1
Er1 Er 0.500 0.500 0.500 1
Er2 Er 0.000 0.000 0.000 1
Ac1 Ac 0.117 0.629 0.288 1
Ac2 Ac 0.288 0.117 0.629 1
Ac3 Ac 0.629 0.288 0.117 1
Ac4 Ac 0.371 0.712 0.883 1
Ac5 Ac 0.883 0.371 0.712 1
Ac6 Ac 0.712 0.883 0.371 1



# AcErTe2, relaxed, DFT PBE-GGA
# D(E_F) = 3.22 states/eV/f.u.
# excess energy over the best structure of this formula in the dataset = 157 meV per atom
# raw formation energy = -4.8 eV per formula unit
# electronic total energy = -4.940 eV/atom
data_AcErTe2
_chemical_formula_sum 'Ac1 Er1 Te2'
_cell_length_a 3.903
_cell_length_b 3.903
_cell_length_c 7.875
_cell_angle_alpha 90.00
_cell_angle_beta 90.00
_cell_angle_gamma 90.00
_space_group_name_H-M_alt 'P 1'
_space_group_IT_number 1
loop_
_space_group_symop_operation_xyz
'x,y,z'
loop_
_atom_site_label
_atom_site_type_symbol
_atom_site_fract_x
_atom_site_fract_y
_atom_site_fract_z
_atom_site_occupancy
Te1 Te 0.000 0.000 0.229 1
Te2 Te 0.000 0.000 0.771 1
Ac1 Ac 0.500 0.500 0.500 1
Er1 Er 0.500 0.500 0.000 1



# Ac2ErTl3Te6, relaxed, DFT PBE-GGA
# raw formation energy = -13.2 eV per formula unit
# electronic total energy = -4.329 eV/atom
data_Ac2ErTl3Te6
_chemical_formula_sum 'Ac2 Er1 Tl3 Te6'
_cell_length_a 8.119
_cell_length_b 8.119
_cell_length_c 8.598
_cell_angle_alpha 99.07
_cell_angle_beta 99.07
_cell_angle_gamma 119.93
_space_group_name_H-M_alt 'P 1'
_space_group_IT_number 1
loop_
_space_group_symop_operation_xyz
'x,y,z'
loop_
_atom_site_label
_atom_site_type_symbol
_atom_site_fract_x
_atom_site_fract_y
_atom_site_fract_z
_atom_site_occupancy
Te1 Te 0.238 0.238 0.775 1
Te2 Te 0.386 0.073 0.220 1
Te3 Te 0.073 0.386 0.220 1
Te4 Te 0.614 0.927 0.780 1
Te5 Te 0.762 0.762 0.225 1
Te6 Te 0.927 0.614 0.780 1
Ac1 Ac 0.666 0.334 0.000 1
Ac2 Ac 0.334 0.666 0.000 1
Tl1 Tl 0.170 0.830 0.500 1
Tl2 Tl 0.830 0.170 0.500 1
Tl3 Tl 0.500 0.500 0.500 1
Er1 Er 0.000 0.000 0.000 1



- Number 3 is which compound?
  AcErTe2



What did the eighth record say?
# Ac3ErTe6, relaxed, DFT PBE-GGA
# excess energy over the best structure of this formula in the dataset = 8 meV per atom
# raw formation energy = -14.9 eV per formula unit
# electronic total energy = -5.068 eV/atom
data_Ac3ErTe6
_chemical_formula_sum 'Ac6 Er2 Te12'
_cell_length_a 9.426
_cell_length_b 9.426
_cell_length_c 9.426
_cell_angle_alpha 98.79
_cell_angle_beta 98.79
_cell_angle_gamma 98.79
_space_group_name_H-M_alt 'P 1'
_space_group_IT_number 1
loop_
_space_group_symop_operation_xyz
'x,y,z'
loop_
_atom_site_label
_atom_site_type_symbol
_atom_site_fract_x
_atom_site_fract_y
_atom_site_fract_z
_atom_site_occupancy
Te1 Te 0.065 0.966 0.317 1
Te2 Te 0.811 0.571 0.438 1
Te3 Te 0.317 0.065 0.966 1
Te4 Te 0.935 0.034 0.683 1
Te5 Te 0.562 0.189 0.429 1
Te6 Te 0.966 0.317 0.065 1
Te7 Te 0.034 0.683 0.935 1
Te8 Te 0.683 0.935 0.034 1
Te9 Te 0.571 0.438 0.811 1
Te10 Te 0.189 0.429 0.562 1
Te11 Te 0.429 0.562 0.189 1
Te12 Te 0.438 0.811 0.571 1
Er1 Er 0.500 0.500 0.500 1
Er2 Er 0.000 0.000 0.000 1
Ac1 Ac 0.117 0.629 0.288 1
Ac2 Ac 0.288 0.117 0.629 1
Ac3 Ac 0.629 0.288 0.117 1
Ac4 Ac 0.371 0.712 0.883 1
Ac5 Ac 0.883 0.371 0.712 1
Ac6 Ac 0.712 0.883 0.371 1



- The highest electronic total energy belongs to which entry?
  Ac2ErTl3Te6